Record 1
{
  "formula": "AlTcIr3",
  "functional": "PBE-GGA",
  "state": "optimized geometry",
  "cell": [[4.427, 0.000, 0.000], [0.000, 4.427, 0.000], [0.000, 0.000, 4.427]],
  "species": ["Al", "Tc", "Ir", "Ir", "Ir"],
  "fractional_positions": [[0.000, 0.000, 0.000], [0.500, 0.500, 0.500], [0.000, 0.000, 0.500], [0.000, 0.500, 0.000], [0.500, 0.000, 0.000]],
  "sg": "Pm-3m",
  "total_energy_ev_per_atom": -6.917,
  "mass_density_kg_m3": 13429,
  "magnetic_moment_mub_per_atom": 0.82
}

---

Record 2
{
  "formula": "AlAsOF2",
  "functional": "PBE-GGA",
  "state": "optimized geometry",
  "cell": [[4.422, 0.000, 0.000], [0.000, 4.422, 0.000], [0.000, 0.000, 3.930]],
  "species": ["Al", "As", "O", "F", "F"],
  "fractional_positions": [[0.000, 0.000, 0.000], [0.500, 0.500, 0.500], [0.500, 0.500, 0.000], [0.000, 0.500, 0.500], [0.500, 0.000, 0.500]],
  "sg": "P4/mmm",
  "total_energy_ev_per_atom": -4.506,
  "mass_density_kg_m3": 3369,
  "magnetic_moment_mub_per_atom": 0.00
}

---

Record 3
{
  "formula": "Tm3Cu2Rh",
  "functional": "PBE-GGA",
  "state": "optimized geometry",
  "cell": [[3.414, 0.000, 0.000], [0.000, 3.414, 0.000], [0.000, 0.000, 10.217]],
  "species": ["Tm", "Tm", "Tm", "Cu", "Cu", "Rh"],
  "fractional_positions": [[0.000, 0.000, 0.000], [0.000, 0.000, 0.338], [0.000, 0.000, 0.662], [0.500, 0.500, 0.168], [0.500, 0.500, 0.832], [0.500, 0.500, 0.500]],
  "sg": "P4/mmm",
  "total_energy_ev_per_atom": -5.338,
  "mass_density_kg_m3": 10273,
  "magnetic_moment_mub_per_atom": 0.00
}

---

Record 4
{
  "formula": "ScOs2Pb",
  "functional": "PBE-GGA",
  "state": "optimized geometry",
  "cell": [[4.527, 0.000, 0.000], [0.000, 4.527, 0.000], [0.000, 0.000, 3.412]],
  "species": ["Sc", "Os", "Os", "Pb"],
  "fractional_positions": [[0.000, 0.000, 0.000], [0.000, 0.500, 0.500], [0.500, 0.000, 0.500], [0.500, 0.500, 0.000]],
  "sg": "P4/mmm",
  "total_energy_ev_per_atom": -7.849,
  "mass_density_kg_m3": 15024,
  "magnetic_moment_mub_per_atom": 0.00
}

---

Record 5
{
  "formula": "GdZrSc2",
  "functional": "PBE-GGA",
  "state": "optimized geometry",
  "cell": [[3.295, 0.000, 0.000], [0.000, 3.295, 0.000], [0.000, 0.000, 9.468]],
  "species": ["Gd", "Zr", "Sc", "Sc"],
  "fractional_positions": [[0.000, 0.000, 0.000], [0.000, 0.000, 0.500], [0.500, 0.500, 0.272], [0.500, 0.500, 0.728]],
  "sg": "P4/mmm",
  "total_energy_ev_per_atom": -8.782,
  "mass_density_kg_m3": 5466,
  "magnetic_moment_mub_per_atom": 1.87
}

---

Record 6
{
  "formula": "AcTb3HoEr",
  "functional": "PBE-GGA",
  "state": "optimized geometry",
  "cell": [[11.497, -2.692, 0.000], [11.497, 2.692, 0.000], [-1.001, 0.000, 6.938]],
  "species": ["Ac", "Ac", "Tb", "Tb", "Tb", "Tb", "Tb", "Tb", "Ho", "Ho", "Er", "Er"],
  "fractional_positions": [[0.127, 0.127, 0.483], [0.873, 0.873, 0.517], [0.021, 0.021, 0.784], [0.275, 0.275, 0.691], [0.320, 0.320, 0.216], [0.680, 0.680, 0.784], [0.725, 0.725, 0.309], [0.979, 0.979, 0.216], [0.425, 0.425, 0.889], [0.575, 0.575, 0.111], [0.167, 0.167, 0.024], [0.833, 0.833, 0.976]],
  "sg": "C2/m",
  "total_energy_ev_per_atom": -4.299,
  "mass_density_kg_m3": 8012,
  "magnetic_moment_mub_per_atom": 0.00
}

---

Record 7
{
  "formula": "CeDyTmAl",
  "functional": "PBE-GGA",
  "state": "optimized geometry",
  "cell": [[0.000, 3.753, 3.753], [3.753, 0.000, 3.753], [3.753, 3.753, 0.000]],
  "species": ["Ce", "Dy", "Tm", "Al"],
  "fractional_positions": [[0.000, 0.000, 0.000], [0.500, 0.500, 0.500], [0.250, 0.250, 0.250], [0.750, 0.750, 0.750]],
  "sg": "F-43m",
  "total_energy_ev_per_atom": -4.737,
  "mass_density_kg_m3": 7828,
  "magnetic_moment_mub_per_atom": 0.09
}

---

Record 8
{
  "formula": "Ce2SbPb",
  "functional": "PBE-GGA",
  "state": "optimized geometry",
  "cell": [[3.738, 0.000, 0.000], [0.000, 3.738, 0.000], [0.000, 0.000, 8.379]],
  "species": ["Ce", "Ce", "Sb", "Pb"],
  "fractional_positions": [[0.000, 0.000, 0.230], [0.000, 0.000, 0.770], [0.500, 0.500, 0.000], [0.500, 0.500, 0.500]],
  "sg": "P4/mmm",
  "total_energy_ev_per_atom": -5.548,
  "mass_density_kg_m3": 8642,
  "magnetic_moment_mub_per_atom": 0.53
}

---

Record 9
{
  "formula": "CrSbPb2",
  "functional": "PBE-GGA",
  "state": "optimized geometry",
  "cell": [[3.548, 0.000, 0.000], [0.000, 3.548, 0.000], [0.000, 0.000, 8.272]],
  "species": ["Cr", "Sb", "Pb", "Pb"],
  "fractional_positions": [[0.000, 0.000, 0.000], [0.000, 0.000, 0.500], [0.500, 0.500, 0.217], [0.500, 0.500, 0.783]],
  "sg": "P4/mmm",
  "total_energy_ev_per_atom": -4.875,
  "mass_density_kg_m3": 9379,
  "magnetic_moment_mub_per_atom": 1.02
}

---

Record 10
{
  "formula": "Pa3OsN6O2",
  "functional": "PBE-GGA",
  "state": "optimized geometry",
  "cell": [[5.482, -3.395, 0.000], [5.482, 3.395, 0.000], [-0.185, 0.000, 4.698]],
  "species": ["Pa", "Pa", "Pa", "Os", "N", "N", "N", "N", "N", "N", "O", "O"],
  "fractional_positions": [[0.000, 0.000, 0.000], [0.000, 0.500, 0.500], [0.500, 0.000, 0.500], [0.500, 0.500, 0.500], [0.205, 0.654, 0.737], [0.338, 0.338, 0.296], [0.346, 0.795, 0.263], [0.654, 0.205, 0.737], [0.662, 0.662, 0.704], [0.795, 0.346, 0.263], [0.162, 0.162, 0.742], [0.838, 0.838, 0.258]],
  "sg": "C2/m",
  "total_energy_ev_per_atom": -9.462,
  "mass_density_kg_m3": 9489,
  "magnetic_moment_mub_per_atom": 0.04
}

---

Record 11
{
  "formula": "NiP5",
  "functional": "PBE-GGA",
  "state": "optimized geometry",
  "cell": [[0.000, 3.505, 3.505], [3.505, 0.000, 3.505], [3.505, 3.505, 0.000]],
  "species": ["Ni", "P", "P", "P", "P", "P"],
  "fractional_positions": [[0.000, 0.000, 0.000], [0.123, 0.626, 0.626], [0.250, 0.250, 0.250], [0.626, 0.123, 0.626], [0.626, 0.626, 0.123], [0.626, 0.626, 0.626]],
  "sg": "F-43m",
  "total_energy_ev_per_atom": -4.614,
  "mass_density_kg_m3": 4116,
  "magnetic_moment_mub_per_atom": 0.00
}

---

Record 12
{
  "formula": "ZrTe2Pb",
  "functional": "PBE-GGA",
  "state": "optimized geometry",
  "cell": [[-3.599, 3.599, 6.394], [3.599, -3.599, 6.394], [3.599, 3.599, -6.394]],
  "species": ["Zr", "Zr", "Te", "Te", "Te", "Te", "Pb", "Pb"],
  "fractional_positions": [[0.000, 0.000, 0.000], [0.750, 0.250, 0.500], [0.082, 0.625, 0.957], [0.375, 0.332, 0.457], [0.668, 0.125, 0.043], [0.875, 0.918, 0.543], [0.250, 0.750, 0.500], [0.500, 0.500, 0.000]],
  "sg": "I-42d",
  "total_energy_ev_per_atom": -4.779,
  "mass_density_kg_m3": 5549,
  "magnetic_moment_mub_per_atom": 0.46
}

---

| no. | N(E_F) (states/eV/atom) |
| --- | --- |
| 1 | 1.10 |
| 2 | 0.01 |
| 3 | 0.64 |
| 4 | 0.80 |
| 5 | 1.72 |
| 6 | 1.66 |
| 7 | 1.96 |
| 8 | 3.00 |
| 9 | 0.54 |
| 10 | 0.44 |
| 11 | 0.47 |
| 12 | 0.53 |